1.
Here is a relaxed InSiAg crystal from Alexandria via LeMat-Bulk. Energies are from PBE-GGA.

Cell: 3.3004 3.3004 6.3213 Å, 90.00 90.00 120.00°
Atoms (fractional coordinates):
Ag  0.0000  0.0000  0.9769
In  0.6667  0.3333  0.3369
Si  0.3333  0.6667  0.6862

## Properties
density: 7.0 g/cm³
electronic total energy: -3.386 eV/atom
N(E_F): 0.75 states/eV/f.u.
space group: P3m1, No. 156
formation energy without anion corrections: 6.56 kcal/mol of atoms
V: 59.6 Å³/cell
size of the total moment: 0.0 Bohr magnetons per cell



2.
Here is a relaxed Tm2BeCd crystal from Alexandria via LeMat-Bulk. Energies are from PBE-GGA.

Cell: 3.3552 3.3552 10.5488 Å, 80.85 80.85 60.00°
Atoms (fractional coordinates):
Tm  0.8967  0.8967  0.3098
Tm  0.1033  0.1033  0.6902
Be  0.5000  0.5000  0.5000
Cd  0.0000  0.0000  0.0000

## Properties
density: 7.5 g/cm³
polymorph energy (0 for the lowest one): 445 meV per atom
electronic total energy: -3.078 eV/atom
N(E_F): 3.47 states/eV/f.u.
space group: R-3m, No. 166
V: 101.1 Å³/cell
formation energy from the elements: 0.32 eV per atom
size of the total moment: 0.0 Bohr magnetons per cell



3.
Here is a relaxed Al2ReNiTe crystal from Alexandria via LeMat-Bulk. Energies are from PBE-GGA.

Cell: 5.1879 4.4885 5.1879 Å, 90.00 90.00 90.00°
Atoms (fractional coordinates):
Re  0.5000  0.5000  0.5000
Te  0.0000  0.0000  0.0000
Al  0.5000  0.0000  0.0000
Al  0.0000  0.0000  0.5000
Ni  0.0000  0.5000  0.0000

## Properties
density: 5.9 g/cm³
electronic total energy: -4.043 eV/atom
N(E_F): 4.65 states/eV/f.u.
space group: P4/mmm, No. 123
formation energy without anion corrections: 39.85 kcal/mol of atoms
V: 120.8 Å³/cell
size of the total moment: 3.3 Bohr magnetons per cell



4.
Here is a relaxed KNa2LiBi crystal from Alexandria via LeMat-Bulk. Energies are from PBE-GGA.

Cell: 5.7544 5.7544 5.2275 Å, 90.00 90.00 90.00°
Atoms (fractional coordinates):
Na  0.0000  0.5000  0.0000
K  0.5000  0.5000  0.5000
Na  0.5000  0.0000  0.0000
Li  0.0000  0.0000  0.0000
Bi  0.0000  0.0000  0.5000

## Properties
density: 2.9 g/cm³
polymorph energy (0 for the lowest one): 43 meV per atom
electronic total energy: -2.059 eV/atom
N(E_F): 2.44 states/eV/f.u.
space group: P4/mmm, No. 123
V: 173.1 Å³/cell
formation energy from the elements: -0.15 eV per atom
size of the total moment: 0.3 Bohr magnetons per cell



5.
Here is a relaxed EuGeO3 crystal from Alexandria via LeMat-Bulk. Energies are from PBE-GGA.

Cell: 3.8884 3.8884 3.8884 Å, 90.00 90.00 90.00°
Atoms (fractional coordinates):
Ge  0.0000  0.0000  0.0000
Eu  0.5000  0.5000  0.5000
O  0.0000  0.0000  0.5000
O  0.0000  0.5000  0.0000
O  0.5000  0.0000  0.0000

## Properties
density: 7.7 g/cm³
electronic total energy: -8.141 eV/atom
N(E_F): 11.62 states/eV/f.u.
space group: Pm-3m, No. 221
formation energy without anion corrections: -50.46 kcal/mol of atoms
V: 58.8 Å³/cell
size of the total moment: 6.8 Bohr magnetons per cell



6.
Here is a relaxed PbAu crystal from Alexandria via LeMat-Bulk. Energies are from PBE-GGA.

Cell: 10.8201 10.8201 4.9727 Å, 90.00 90.00 90.00°
Atoms (fractional coordinates):
Pb  0.5662  0.8502  0.0000
Au  0.2880  0.1944  0.5000
Au  0.8056  0.2880  0.5000
Pb  0.3502  0.9338  0.5000
Pb  0.6498  0.0662  0.5000
Au  0.6944  0.2120  0.0000
Pb  0.8502  0.4338  0.0000
Au  0.7120  0.8056  0.5000
Au  0.3056  0.7880  0.0000
Au  0.2120  0.3056  0.0000
Au  0.7880  0.6944  0.0000
Pb  0.9338  0.6498  0.5000
Pb  0.1498  0.5662  0.0000
Pb  0.4338  0.1498  0.0000
Pb  0.0662  0.3502  0.5000
Au  0.1944  0.7120  0.5000

## Properties
density: 9.2 g/cm³
electronic total energy: -3.359 eV/atom
N(E_F): 1.00 states/eV/f.u.
space group: I4/m, No. 87
V: 582.2 Å³/cell
formation energy from the elements: 0.13 eV per atom
size of the total moment: 0.0 Bohr magnetons per cell



7.
Here is a relaxed AgSb2Ru crystal from Alexandria via LeMat-Bulk. Energies are from PBE-GGA.

Cell: 5.5596 5.5596 5.5596 Å, 136.68 136.68 62.93°
Atoms (fractional coordinates):
Ru  0.7500  0.2500  0.5000
Ag  0.5000  0.5000  0.0000
Sb  0.0000  0.0000  0.0000
Sb  0.2500  0.7500  0.5000

## Properties
density: 9.4 g/cm³
electronic total energy: -4.735 eV/atom
N(E_F): 3.50 states/eV/f.u.
space group: I-4m2, No. 119
formation energy without anion corrections: 8.25 kcal/mol of atoms
V: 79.9 Å³/cell
size of the total moment: 0.0 Bohr magnetons per cell



8.
Here is a relaxed SrLaTc2 crystal from Alexandria via LeMat-Bulk. Energies are from PBE-GGA.

Cell: 7.8356 7.8356 6.3315 Å, 51.77 51.77 90.00°
Atoms (fractional coordinates):
Sr  0.5000  0.5000  0.0000
Sr  0.2500  0.7500  0.5000
Tc  0.6589  0.1250  0.2500
Tc  0.8750  0.9088  0.7500
La  0.7500  0.2500  0.5000
Tc  0.0912  0.6250  0.2500
Tc  0.3750  0.3412  0.7500
La  0.0000  0.0000  0.0000

## Properties
density: 7.5 g/cm³
polymorph energy (0 for the lowest one): 836 meV per atom
electronic total energy: -5.695 eV/atom
N(E_F): 7.05 states/eV/f.u.
space group: I-42d, No. 122
V: 188.1 Å³/cell
formation energy from the elements: 1.14 eV per atom
size of the total moment: 1.7 Bohr magnetons per cell



Repeat the sixth record exactly.
Here is a relaxed PbAu crystal from Alexandria via LeMat-Bulk. Energies are from PBE-GGA.

Cell: 10.8201 10.8201 4.9727 Å, 90.00 90.00 90.00°
Atoms (fractional coordinates):
Pb  0.5662  0.8502  0.0000
Au  0.2880  0.1944  0.5000
Au  0.8056  0.2880  0.5000
Pb  0.3502  0.9338  0.5000
Pb  0.6498  0.0662  0.5000
Au  0.6944  0.2120  0.0000
Pb  0.8502  0.4338  0.0000
Au  0.7120  0.8056  0.5000
Au  0.3056  0.7880  0.0000
Au  0.2120  0.3056  0.0000
Au  0.7880  0.6944  0.0000
Pb  0.9338  0.6498  0.5000
Pb  0.1498  0.5662  0.0000
Pb  0.4338  0.1498  0.0000
Pb  0.0662  0.3502  0.5000
Au  0.1944  0.7120  0.5000

## Properties
density: 9.2 g/cm³
electronic total energy: -3.359 eV/atom
N(E_F): 1.00 states/eV/f.u.
space group: I4/m, No. 87
V: 582.2 Å³/cell
formation energy from the elements: 0.13 eV per atom
size of the total moment: 0.0 Bohr magnetons per cell



> Which of these has the highest V?

PbAu



> Number 4 is which compound?

KNa2LiBi